Entry from Alexandria via LeMat-Bulk: an optimized crystal structure of KNaCa2Rh (GGA-PBE).

Properties
Its uncorrected energy is -2.784 eV/atom. The symmetry is P4/mmm. The density of states at the Fermi level is 2.62 states/eV/f.u. The calculation puts the formation energy at -29.5 meV per atom. The value obtained for the polymorph energy (0 for the lowest one) is 0.0 meV/atom.

a = 5.5199 Å, b = 5.5199 Å, c = 5.9790 Å
α = 90.00°, β = 90.00°, γ = 90.00°
With the nearest neighbours (Å) after each atom.
Fractional coordinates of all 5 atoms:
Na 0.0000 0.0000 0.5000  2 Rh 2.99
Ca 0.0000 0.5000 0.0000  2 Rh 2.76
Ca 0.5000 0.0000 0.0000  2 Rh 2.76
Rh 0.0000 0.0000 0.0000  4 Ca 2.76, 2 Na 2.99
K 0.5000 0.5000 0.5000  4 Na 3.90, 8 Ca 4.07

***

Entry from Alexandria via LeMat-Bulk: an optimized crystal structure of KNaCa2Rh (GGA-PBE).

Properties
Its uncorrected energy is -2.723 eV/atom. The symmetry is P4/mmm. The density of states at the Fermi level is 3.33 states/eV/f.u. The calculation puts the formation energy at 31.2 meV per atom. The value obtained for the polymorph energy (0 for the lowest one) is 60.7 meV/atom.

a = 5.4973 Å, b = 5.4973 Å, c = 6.3823 Å
α = 90.00°, β = 90.00°, γ = 90.00°
With the nearest neighbours (Å) after each atom.
Fractional coordinates of all 5 atoms:
Na 0.5000 0.5000 0.5000  4 K 3.89, 8 Ca 4.21
Ca 0.0000 0.5000 0.0000  2 Rh 2.75
Ca 0.5000 0.0000 0.0000  2 Rh 2.75
Rh 0.0000 0.0000 0.0000  4 Ca 2.75
K 0.0000 0.0000 0.5000  2 Rh 3.19

***

Which value of uncorrected energy does entry 2 give? -2.723 eV/atom

***

Which of these has the highest uncorrected energy? number 2

***

What is the uncorrected energy in the second record? -2.723 eV/atom